## In2SBr (PBE-GGA)

Data for a relaxed In2SBr crystal.

The structure in POSCAR format:
```
In2SBr
1.0
9.632 0.000 0.000
0.000 3.981 0.000
-0.643 0.000 11.836
Br In S
4 8 4
Cartesian
6.604 3.792 0.592
2.707 1.801 5.326
6.282 1.801 6.509
2.385 3.792 11.244
3.541 3.813 7.570
3.863 1.823 1.653
9.340 3.785 4.507
5.448 3.813 4.265
-0.351 3.785 7.329
9.019 1.795 10.424
-0.030 1.795 1.411
5.126 1.823 10.183
0.963 1.795 8.400
1.284 3.785 2.482
7.705 3.785 9.354
8.027 1.795 3.436
```

Properties
* space-group type: No. 5
* M_tot: 0.0 Bohr magnetons per cell
* excess energy over the best structure of this formula in the dataset: 32 meV per atom
* calculated volume: 113.47 Å³/f.u.
* energy relative to the elements, uncorrected: -0.522 eV per atom